The following is a PBE calculation of a relaxed structure of La8IrPt5, from the Alexandria database.

abc: 7.912 7.912 7.912
angles: 109.70 109.70 109.01
Sites, in units of the cell vectors:
1 La 0.253 0.506 0.631
2 La 0.378 0.747 0.253
3 La 0.383 0.243 0.255
4 La 0.494 0.125 0.747
5 La 0.757 0.012 0.140
6 La 0.872 0.617 0.860
7 La 0.875 0.622 0.369
8 La 0.988 0.128 0.745
9 Ir 0.750 0.250 0.500
10 Pt 0.004 0.377 0.129
11 Pt 0.124 0.996 0.372
12 Pt 0.248 0.876 0.871
13 Pt 0.500 0.500 0.000
14 Pt 0.623 0.752 0.628

Properties
Electronic total energy ... -92.51 eV for the cell shown
SG ... I-4
Formation energy from the elements ... -1.002 eV/atom
N(E_F) ... 13.16 states/eV per cell